## Li2CaTcCl (PBEsol)

Data for an optimized crystal structure of Li2CaTcCl.

Lattice parameters (Å, degrees): 4.7615 5.7133 5.7133 90.00 90.00 90.00
Element x y z (fractional)
1 Ca 0.0000 0.0000 0.0000
2 Li 0.0000 0.0000 0.5000
3 Li 0.0000 0.5000 0.0000
4 Tc 0.5000 0.0000 0.0000
5 Cl 0.5000 0.5000 0.5000

Summary:
Calculated total energy = -2.714 eV/atom
Crystal system = tetragonal
DOS at the Fermi energy = 0.41 states/eV per atom
Formation energy (no corrections) = 1.154 eV/atom